# VRh2O4

A geometry-optimized VRh2O4 structure (PBE+U, the Alexandria database).

Cell: 4.044 4.044 10.063 Å, 90.00 90.00 90.00°
Fractional coordinates of all 14 atoms:
1 V 0.000 0.000 0.000
2 V 0.500 0.500 0.500
3 Rh 0.000 0.000 0.377
4 Rh 0.000 0.000 0.623
5 Rh 0.500 0.500 0.123
6 Rh 0.500 0.500 0.877
7 O 0.000 0.000 0.181
8 O 0.000 0.000 0.819
9 O 0.000 0.500 0.000
10 O 0.000 0.500 0.500
11 O 0.500 0.000 0.000
12 O 0.500 0.000 0.500
13 O 0.500 0.500 0.319
14 O 0.500 0.500 0.681

Results
For the density, the calculation gives 6.47 g/cm3. Its symmetry is I4/mmm (139). As for the uncorrected energy: -6.397 eV/atom.